[1]
DFT (PBE) results for an optimized crystal structure of KFe4Ag.

Output
Calculated total energy   -5.562 eV/atom

Cell lengths 7.309, 7.309, 7.309 Å; angles 90.00, 90.00, 90.00 degrees
Space group F-43m (No. 216)
Asymmetric unit:
1 K 0.000 0.000 0.000
2 Fe 0.125 0.125 0.375
3 Ag 0.250 0.250 0.750

=====

[2]
DFT (PBE) results for an optimized crystal structure of Cs3AcAg2I8.

Output
Energy relative to the elements, uncorrected   -1.132 eV/atom

Cell lengths 8.8313, 8.8313, 11.1196 Å; angles 90.00, 90.00, 120.00 degrees
Space group P-3m1 (No. 164)
Asymmetric unit:
1 Cs 0.0000 0.0000 0.0000
2 Cs 0.3333 0.6667 0.6180
3 Ac 0.0000 0.0000 0.5000
4 Ag 0.3333 0.6667 0.1879
5 I 0.1686 0.3372 0.3239
6 I 0.3333 0.6667 0.9462

=====

[3]
DFT (PBE) results for an optimized crystal structure of ScTa3Co.

Output
Energy above the most stable polymorph in this dataset   0.000 eV/atom

Cell lengths 4.644, 4.644, 4.644 Å; angles 90.00, 90.00, 90.00 degrees
Space group Pm-3m (No. 221)
Asymmetric unit:
1 Sc 0.000 0.000 0.000
2 Ta 0.000 0.500 0.500
3 Co 0.500 0.500 0.500

=====

[4]
DFT (PBE) results for an optimized crystal structure of La2NiAs3Rh4.

Output
Calculated total energy   -6.764 eV/atom

Cell lengths 4.260, 4.260, 10.169 Å; angles 90.00, 90.00, 90.00 degrees
Space group P-4m2 (No. 115)
Asymmetric unit:
1 La 0.000 0.500 0.239
2 Ni 0.500 0.500 0.000
3 As 0.000 0.000 0.000
4 As 0.000 0.500 0.636
5 Rh 0.000 0.000 0.500
6 Rh 0.000 0.500 0.876
7 Rh 0.500 0.500 0.500

=====

[5]
DFT (PBE) results for an optimized crystal structure of PuCuClO4.

Output
Energy relative to the elements, uncorrected   -1.504 eV/atom

Cell lengths 9.155, 7.584, 6.901 Å; angles 90.00, 102.60, 90.00 degrees
Space group C2/m (No. 12)
Asymmetric unit:
1 Pu 0.159 0.000 0.201
2 Cu 0.195 0.500 0.212
3 Cl 0.046 0.500 0.744
4 O 0.119 0.000 0.908
5 O 0.173 0.249 0.196
6 O 0.181 0.000 0.474

=====

[6]
DFT (PBE) results for an optimized crystal structure of BeSbPI2.

Output
Energy relative to the elements, uncorrected   0.768 eV/atom
Energy above the most stable polymorph in this dataset   0.000 eV/atom

Cell lengths 5.021, 5.021, 5.148 Å; angles 90.00, 90.00, 90.00 degrees
Space group P4/mmm (No. 123)
Asymmetric unit:
1 Be 0.000 0.000 0.000
2 Sb 0.000 0.000 0.500
3 P 0.500 0.500 0.500
4 I 0.000 0.500 0.000

=====

[7]
DFT (PBE) results for an optimized crystal structure of Pa2Ni2Pt3.

Output
Calculated total energy   -7.412 eV/atom

Cell lengths 4.004, 4.154, 16.137 Å; angles 90.00, 90.00, 90.00 degrees
Space group Immm (No. 71)
Asymmetric unit:
1 Pa 0.000 0.000 0.167
2 Ni 0.000 0.500 0.434
3 Pt 0.000 0.000 0.346
4 Pt 0.000 0.500 0.000

=====

[8]
DFT (PBE) results for an optimized crystal structure of Cr2B2Ru.

Output
Calculated total energy   -8.688 eV/atom

Cell lengths 5.735, 5.735, 2.903 Å; angles 90.00, 90.00, 90.00 degrees
Space group P4/mbm (No. 127)
Asymmetric unit:
1 Cr 0.167 0.333 0.000
2 B 0.114 0.614 0.500
3 Ru 0.000 0.000 0.500

=====

Computed ρ, in the same sequence as the records: 6300, 4105, 10725, 8756, 5781, 5317, 14411, 7885 kg/m3.